Density functional theory data (GGA-PBE) for Sc2TaCd after structural relaxation.

Values from the calculation:
- space group = I4/mmm (139)
- total magnetization (Bohr magnetons per cell) = 0.00
- calculated total energy (eV per atom) = -6.234
- crystal system = tetragonal

abc: 5.317 5.317 5.317
angles: 131.13 131.13 71.61
Element x y z (fractional)
Sc 0.250 0.750 0.500
Sc 0.750 0.250 0.500
Ta 0.000 0.000 0.000
Cd 0.500 0.500 0.000